(1)
Entry from Alexandria via LeMat-Bulk: a relaxed LaPr7Tm2 crystal (PBE).

The structure in POSCAR format:
```
LaPr7Tm2
1.0
4.956 -5.958 0.000
4.956 5.958 0.000
-0.012 0.000 6.185
La Pr Tm
1 7 2
direct
0.000 0.000 0.000
0.136 0.632 0.245
0.165 0.165 0.461
0.368 0.864 0.755
0.500 0.500 0.500
0.632 0.136 0.245
0.835 0.835 0.539
0.864 0.368 0.755
0.337 0.337 0.962
0.663 0.663 0.038
```

- Energy relative to the elements: 0.271 eV/atom
- Energy above the lowest structure with this stoichiometry: 0.000 eV/f.u.



(2)
Entry from Alexandria via LeMat-Bulk: a relaxed La4Tb2NdTm2 crystal (PBE).

The structure in POSCAR format:
```
La4Tb2NdTm2
1.0
7.717 -2.583 0.000
7.717 2.583 0.000
-2.511 0.000 7.706
La Tb Nd Tm
4 2 1 2
direct
0.054 0.054 0.330
0.276 0.276 0.668
0.724 0.724 0.332
0.946 0.946 0.670
0.388 0.388 0.329
0.612 0.612 0.671
0.500 0.500 0.000
0.169 0.169 0.999
0.831 0.831 0.001
```

- Energy relative to the elements: 0.028 eV/atom



(3)
Entry from Alexandria via LeMat-Bulk: a relaxed CdBi3Pd4 crystal (PBE).

The structure in POSCAR format:
```
CdBi3Pd4
1.0
-2.995 5.296 2.756
2.995 -5.296 2.756
2.995 5.296 -2.756
Cd Bi Pd
1 3 4
direct
0.000 0.000 0.000
0.146 0.646 0.500
0.219 0.424 0.795
0.630 0.424 0.205
0.198 0.929 0.269
0.588 0.329 0.741
0.588 0.847 0.259
0.660 0.929 0.731
```

- Energy relative to the elements: -0.160 eV/atom



(4)
Entry from Alexandria via LeMat-Bulk: a relaxed TcAgCl2 crystal (PBE).

The structure in POSCAR format:
```
TcAgCl2
1.0
-1.868 1.868 5.983
1.868 -1.868 5.983
1.868 1.868 -5.983
Tc Ag Cl
1 1 2
direct
0.000 0.000 0.000
0.250 0.750 0.500
0.500 0.500 0.000
0.750 0.250 0.500
```

- Energy above the lowest structure with this stoichiometry: 1.871 eV/f.u.
- Formation energy (no corrections): 445 meV/atom



(5)
Entry from Alexandria via LeMat-Bulk: a relaxed PmY8Tm2 crystal (PBE).

The structure in POSCAR format:
```
PmY8Tm2
1.0
4.516 -8.161 0.000
4.516 8.161 0.000
-3.301 0.000 4.875
Pm Y Tm
1 8 2
direct
0.000 0.000 0.000
0.099 0.341 0.683
0.206 0.794 0.000
0.341 0.099 0.683
0.431 0.431 0.209
0.569 0.569 0.791
0.659 0.901 0.317
0.794 0.206 0.000
0.901 0.659 0.317
0.309 0.691 0.500
0.691 0.309 0.500
```

- Energy relative to the elements: 0.162 eV/atom
- Energy above the lowest structure with this stoichiometry: 0.000 eV/f.u.



(6)
Entry from Alexandria via LeMat-Bulk: a relaxed ScFe2CoSb crystal (PBE).

The structure in POSCAR format:
```
ScFe2CoSb
1.0
4.286 0.000 0.000
0.000 4.286 0.000
0.000 0.000 4.685
Sc Fe Co Sb
1 2 1 1
direct
0.000 0.000 0.000
0.000 0.500 0.500
0.500 0.000 0.500
0.500 0.500 0.500
0.500 0.500 0.000
```

- Formation energy (no corrections): 707 meV/atom



(7)
Entry from Alexandria via LeMat-Bulk: a relaxed MnTcRu2N crystal (PBE).

The structure in POSCAR format:
```
MnTcRu2N
1.0
4.758 0.000 0.000
0.000 4.758 0.000
0.000 0.000 3.674
Mn Tc Ru N
1 1 2 1
direct
0.000 0.000 0.000
0.500 0.500 0.500
0.000 0.500 0.500
0.500 0.000 0.500
0.500 0.500 0.000
```

- Formation energy (no corrections): 1836 meV/atom



(8)
Entry from Alexandria via LeMat-Bulk: a relaxed YTlRu3 crystal (PBE).

The structure in POSCAR format:
```
YTlRu3
1.0
4.940 0.000 0.000
0.000 4.940 0.000
0.000 0.000 4.940
Y Tl Ru
1 1 3
direct
0.000 0.000 0.000
0.500 0.500 0.500
0.000 0.000 0.500
0.000 0.500 0.000
0.500 0.000 0.000
```

- Energy relative to the elements: 1.776 eV/atom
- Energy above the lowest structure with this stoichiometry: 1.205 eV/f.u.



(9)
Entry from Alexandria via LeMat-Bulk: a relaxed TlNiSe2 crystal (PBE).

The structure in POSCAR format:
```
TlNiSe2
1.0
3.167 0.000 0.000
0.000 3.167 0.000
0.000 0.000 8.387
Tl Ni Se
1 1 2
direct
0.000 0.000 0.000
0.000 0.000 0.500
0.500 0.500 0.329
0.500 0.500 0.671
```

- Formation energy (no corrections): 81 meV/atom



(10)
Entry from Alexandria via LeMat-Bulk: a relaxed NaHgRu3 crystal (PBE).

The structure in POSCAR format:
```
NaHgRu3
1.0
4.602 0.000 0.000
0.000 4.602 0.000
0.000 0.000 4.602
Na Hg Ru
1 1 3
direct
0.000 0.000 0.000
0.500 0.500 0.500
0.000 0.000 0.500
0.000 0.500 0.000
0.500 0.000 0.000
```

- Energy relative to the elements: 2.196 eV/atom
- Energy above the lowest structure with this stoichiometry: 0.589 eV/f.u.



(11)
Entry from Alexandria via LeMat-Bulk: a relaxed Ho3Tm2ScS6 crystal (PBE).

The structure in POSCAR format:
```
Ho3Tm2ScS6
1.0
8.363 -1.916 0.000
8.363 1.916 0.000
-1.808 0.000 7.492
Ho Tm Sc S
3 2 1 6
direct
0.000 0.000 0.000
0.333 0.333 0.665
0.667 0.667 0.335
0.334 0.334 0.169
0.666 0.666 0.831
0.000 0.000 0.500
0.163 0.163 0.584
0.168 0.168 0.081
0.500 0.500 0.259
0.500 0.500 0.741
0.832 0.832 0.919
0.837 0.837 0.416
```

- Formation energy (no corrections): -1938 meV/atom



(12)
Entry from Alexandria via LeMat-Bulk: a relaxed Nd2SmEr4 crystal (PBE).

The structure in POSCAR format:
```
Nd2SmEr4
1.0
6.678 0.000 0.000
3.312 8.381 0.000
3.313 0.511 8.375
Nd Sm Er
4 2 8
direct
0.000 0.000 0.000
0.000 0.499 0.500
0.499 0.000 0.501
0.999 0.000 0.500
0.225 0.525 0.024
0.774 0.475 0.977
0.260 0.262 0.762
0.285 0.739 0.239
0.361 0.133 0.146
0.361 0.645 0.632
0.637 0.868 0.856
0.638 0.355 0.369
0.714 0.262 0.762
0.739 0.739 0.239
```

- Energy relative to the elements: 0.265 eV/atom
- Energy above the lowest structure with this stoichiometry: 0.398 eV/f.u.



(13)
Entry from Alexandria via LeMat-Bulk: a relaxed Ho2CdHg5 crystal (PBE).

The structure in POSCAR format:
```
Ho2CdHg5
1.0
-2.534 2.534 7.525
2.534 -2.534 7.525
2.534 2.534 -7.525
Ho Cd Hg
2 1 5
direct
0.250 0.250 0.000
0.750 0.750 0.000
0.000 0.000 0.000
0.124 0.624 0.500
0.376 0.876 0.500
0.500 0.500 0.000
0.624 0.124 0.500
0.876 0.376 0.500
```

- Energy relative to the elements: -0.245 eV/atom



(14)
Entry from Alexandria via LeMat-Bulk: a relaxed Ba3Sr4Mg2 crystal (PBE).

The structure in POSCAR format:
```
Ba3Sr4Mg2
1.0
7.722 -3.137 0.000
7.722 3.137 0.000
-2.591 0.000 9.229
Ba Sr Mg
3 4 2
direct
0.000 0.000 0.000
0.414 0.414 0.652
0.586 0.586 0.348
0.136 0.136 0.644
0.331 0.331 0.033
0.669 0.669 0.967
0.864 0.864 0.356
0.220 0.220 0.310
0.780 0.780 0.690
```

- Energy relative to the elements: 0.003 eV/atom



(15)
Entry from Alexandria via LeMat-Bulk: a relaxed Ce3AgPb3 crystal (PBE).

The structure in POSCAR format:
```
Ce3AgPb3
1.0
4.604 -5.412 0.000
4.604 5.412 0.000
-1.729 0.000 8.219
Ce Ag Pb
6 2 6
direct
0.126 0.874 0.000
0.271 0.729 0.500
0.409 0.409 0.109
0.591 0.591 0.891
0.729 0.271 0.500
0.874 0.126 0.000
0.071 0.071 0.677
0.929 0.929 0.323
0.095 0.470 0.785
0.241 0.241 0.411
0.470 0.095 0.785
0.530 0.905 0.215
0.759 0.759 0.589
0.905 0.530 0.215
```

- Energy relative to the elements: -0.211 eV/atom



(16)
Entry from Alexandria via LeMat-Bulk: a relaxed Nd12Tl3Pb5 crystal (PBE).

The structure in POSCAR format:
```
Nd12Tl3Pb5
1.0
-9.284 9.284 9.284
9.284 -9.284 9.284
9.284 9.284 -9.284
Nd Tl Pb
48 12 20
direct
0.057 0.224 0.132
0.057 0.332 0.924
0.076 0.632 0.408
0.076 0.943 0.668
0.092 0.724 0.668
0.092 0.868 0.424
0.132 0.057 0.224
0.132 0.576 0.908
0.168 0.224 0.592
0.168 0.443 0.576
0.224 0.132 0.057
0.224 0.592 0.168
0.276 0.332 0.908
0.276 0.443 0.368
0.332 0.908 0.276
0.332 0.924 0.057
0.368 0.276 0.443
0.368 0.592 0.924
0.408 0.076 0.632
0.408 0.832 0.776
0.424 0.092 0.868
0.424 0.832 0.557
0.443 0.368 0.276
0.443 0.576 0.168
0.557 0.424 0.832
0.557 0.632 0.724
0.576 0.168 0.443
0.576 0.908 0.132
0.592 0.168 0.224
0.592 0.924 0.368
0.632 0.408 0.076
0.632 0.724 0.557
0.668 0.076 0.943
0.668 0.092 0.724
0.724 0.557 0.632
0.724 0.668 0.092
0.776 0.408 0.832
0.776 0.868 0.943
0.832 0.557 0.424
0.832 0.776 0.408
0.868 0.424 0.092
0.868 0.943 0.776
0.908 0.132 0.576
0.908 0.276 0.332
0.924 0.057 0.332
0.924 0.368 0.592
0.943 0.668 0.076
0.943 0.776 0.868
0.125 0.250 0.375
0.125 0.375 0.750
0.250 0.375 0.125
0.250 0.875 0.625
0.375 0.125 0.250
0.375 0.750 0.125
0.625 0.250 0.875
0.625 0.875 0.750
0.750 0.125 0.375
0.750 0.625 0.875
0.875 0.625 0.250
0.875 0.750 0.625
0.000 0.000 0.000
0.000 0.000 0.500
0.000 0.500 0.000
0.000 0.500 0.500
0.125 0.750 0.875
0.125 0.875 0.250
0.250 0.125 0.875
0.250 0.625 0.375
0.375 0.250 0.625
0.375 0.625 0.750
0.500 0.000 0.000
0.500 0.000 0.500
0.500 0.500 0.000
0.500 0.500 0.500
0.625 0.375 0.250
0.625 0.750 0.375
0.750 0.375 0.625
0.750 0.875 0.125
0.875 0.125 0.750
0.875 0.250 0.125
```

- Energy relative to the elements: 0.014 eV/atom



(17)
Entry from Alexandria via LeMat-Bulk: a relaxed FeAsPb2 crystal (PBE).

The structure in POSCAR format:
```
FeAsPb2
1.0
3.274 0.000 0.000
0.000 3.274 0.000
0.000 0.000 8.447
Fe As Pb
1 1 2
direct
0.000 0.000 0.000
0.500 0.500 0.891
0.000 0.000 0.615
0.500 0.500 0.254
```

- Energy relative to the elements: 0.152 eV/atom



(18)
Entry from Alexandria via LeMat-Bulk: a relaxed B5C7 crystal (PBE).

The structure in POSCAR format:
```
B5C7
1.0
4.496 0.000 0.000
0.000 2.555 0.000
-0.021 0.000 6.816
B C
5 7
direct
0.000 0.000 0.000
0.067 0.000 0.761
0.214 0.500 0.125
0.478 0.500 0.777
0.868 0.500 0.631
0.206 0.500 0.355
0.372 0.000 0.430
0.403 0.000 0.657
0.536 0.500 0.013
0.672 0.000 0.101
0.694 0.000 0.329
0.857 0.500 0.404
```

- Energy relative to the elements: 0.423 eV/atom
- Energy above the lowest structure with this stoichiometry: 1.983 eV/f.u.



(19)
Entry from Alexandria via LeMat-Bulk: a relaxed Li2LaZr crystal (PBE).

The structure in POSCAR format:
```
Li2LaZr
1.0
3.176 0.000 0.000
0.000 4.901 0.000
-1.583 0.000 6.246
Li La Zr
2 1 1
direct
0.000 0.000 0.000
0.135 0.500 0.233
0.368 0.500 0.723
0.743 0.000 0.469
```

- Energy relative to the elements: 0.260 eV/atom
- Energy above the lowest structure with this stoichiometry: 0.423 eV/f.u.



| no. | calculated volume (Å³ per cell) |
| --- | --- |
| 1 | 365.3 |
| 2 | 307.2 |
| 3 | 174.8 |
| 4 | 83.5 |
| 5 | 359.4 |
| 6 | 86.0 |
| 7 | 83.2 |
| 8 | 120.5 |
| 9 | 84.1 |
| 10 | 97.4 |
| 11 | 240.2 |
| 12 | 468.8 |
| 13 | 193.3 |
| 14 | 447.1 |
| 15 | 409.6 |
| 16 | 3200.8 |
| 17 | 90.6 |
| 18 | 78.3 |
| 19 | 97.2 |